BaTlRu2 | PBE-GGA | relaxed

Unit cell a=3.1741 b=5.2372 c=11.0363 alpha=90.00 beta=90.00 gamma=90.00
With the nearest neighbours (Å) after each atom.
Space group Imm2 (No. 44)
Symmetry-distinct sites (fractional):
Ba  0.0000  0.0000  0.0000 (multiplicity 2)  4 Ru 3.08, 2 Ba 3.17
Tl  0.0000  0.5000  0.7943 (multiplicity 2)  6 Ru 3.06-3.19, 2 Tl 3.17
Ru  0.0000  0.0000  0.5319 (multiplicity 2)  2 Ru 2.55
Ru  0.0000  0.5000  0.2129 (multiplicity 2)  2 Ru 2.55

E above lowest polymorph: 0.429 eV/atom
Crystal system: orthorhombic
Formation energy: 0.6683 eV per atom
DOS(E_F): 0.868 states/eV/atom

Ba2TlRu | PBE-GGA | relaxed

Unit cell a=8.0242 b=8.0242 c=8.0242 alpha=90.00 beta=90.00 gamma=90.00
With the nearest neighbours (Å) after each atom.
Space group Fm-3m (No. 225)
Symmetry-distinct sites (fractional):
Ba  0.2500  0.2500  0.2500 (multiplicity 8)  4 Ru 3.47, 4 Tl 3.47
Tl  0.0000  0.0000  0.0000 (multiplicity 4)  8 Ba 3.47
Ru  0.0000  0.0000  0.5000 (multiplicity 4)  8 Ba 3.47

E above lowest polymorph: 0.239 eV/atom
Crystal system: cubic
Formation energy: 0.3329 eV per atom
DOS(E_F): 0.964 states/eV/atom

BaTlRu2 | PBE-GGA | relaxed

Unit cell a=4.8881 b=4.8881 c=19.2824 alpha=90.00 beta=90.00 gamma=90.00
With the nearest neighbours (Å) after each atom.
Space group I-42d (No. 122)
Symmetry-distinct sites (fractional):
Ba  0.0000  0.0000  0.0000 (multiplicity 4)  4 Tl 3.46, 8 Ru 3.59-3.69
Tl  0.0000  0.0000  0.5000 (multiplicity 4)  4 Ru 2.70
Ru  0.0154  0.2500  0.6250 (multiplicity 8)  2 Ru 2.45, 2 Tl 2.70

E above lowest polymorph: 0.361 eV/atom
Crystal system: tetragonal
Formation energy: 0.5999 eV per atom
DOS(E_F): 1.050 states/eV/atom

Ba2TlRu | PBE-GGA | relaxed

Unit cell a=11.3146 b=11.3146 c=5.3833 alpha=90.00 beta=90.00 gamma=90.00
With the nearest neighbours (Å) after each atom.
Space group I-42d (No. 122)
Symmetry-distinct sites (fractional):
Ba  0.0814  0.2500  0.1250 (multiplicity 8)  2 Ru 3.05
Tl  0.0000  0.0000  0.5000 (multiplicity 4)  2 Ru 2.69
Ru  0.0000  0.0000  0.0000 (multiplicity 4)  2 Tl 2.69

E above lowest polymorph: 0.092 eV/atom
Crystal system: tetragonal
Formation energy: 0.1857 eV per atom
DOS(E_F): 1.311 states/eV/atom

BaTlRu2 | PBE-GGA | relaxed

Unit cell a=7.1628 b=7.1628 c=7.1628 alpha=90.00 beta=90.00 gamma=90.00
With the nearest neighbours (Å) after each atom.
Space group F-43m (No. 216)
Symmetry-distinct sites (fractional):
Ba  0.0000  0.0000  0.0000 (multiplicity 4)  4 Tl 3.10, 4 Ru 3.10
Tl  0.2500  0.2500  0.7500 (multiplicity 4)  4 Ba 3.10, 4 Ru 3.10
Ru  0.0000  0.0000  0.5000 (multiplicity 4)  4 Tl 3.10, 4 Ru 3.10
Ru  0.2500  0.2500  0.2500 (multiplicity 4)  4 Ba 3.10, 4 Ru 3.10

E above lowest polymorph: 0.729 eV/atom
Crystal system: cubic
Formation energy: 0.9679 eV per atom
DOS(E_F): 1.177 states/eV/atom

BaTlRu2 | PBE-GGA | relaxed

Unit cell a=4.3900 b=4.8455 c=5.5261 alpha=90.00 beta=93.54 gamma=90.00
With the nearest neighbours (Å) after each atom.
Space group P2/m (No. 10)
Symmetry-distinct sites (fractional):
Ba  0.0000  0.0000  0.0000 (multiplicity 1)  4 Tl 3.42-3.63, 4 Ru 3.54
Tl  0.5000  0.0000  0.5000 (multiplicity 1)  4 Ru 2.72
Ru  0.2460  0.5000  0.5869 (multiplicity 2)  2 Ru 2.31-2.48

E above lowest polymorph: 0.350 eV/atom
Crystal system: monoclinic
Formation energy: 0.5896 eV per atom
DOS(E_F): 0.959 states/eV/atom

BaTlRu2 | PBE-GGA | relaxed

Unit cell a=4.5671 b=5.1318 c=8.1146 alpha=90.00 beta=90.00 gamma=90.00
With the nearest neighbours (Å) after each atom.
Space group Cmm2 (No. 35)
Symmetry-distinct sites (fractional):
Ba  0.0000  0.0000  0.0000 (multiplicity 2)  5 Ru 3.33-3.54, 4 Ba 3.43, 2 Tl 3.62
Tl  0.0000  0.5000  0.3457 (multiplicity 2)  3 Ru 2.87-3.02
Ru  0.0000  0.0000  0.5895 (multiplicity 2)  4 Ru 2.45-2.72
Ru  0.0000  0.5000  0.6999 (multiplicity 2)  4 Ru 2.45-2.72

E above lowest polymorph: 0.184 eV/atom
Crystal system: orthorhombic
Formation energy: 0.4234 eV per atom
DOS(E_F): 1.077 states/eV/atom

BaTlRuW2 | PBE-GGA | relaxed

Unit cell a=4.7944 b=4.7944 c=6.0034 alpha=90.00 beta=90.00 gamma=90.00
With the nearest neighbours (Å) after each atom.
Space group P4/mmm (No. 123)
Symmetry-distinct sites (fractional):
Ba  0.0000  0.0000  0.0000 (multiplicity 1)  2 Ru 3.00
Tl  0.5000  0.5000  0.0000 (multiplicity 1)  4 Ba 3.39
Ru  0.0000  0.0000  0.5000 (multiplicity 1)  4 W 2.40
W  0.0000  0.5000  0.5000 (multiplicity 2)  2 Ru 2.40

Crystal system: tetragonal
Formation energy: 1.4515 eV per atom
DOS(E_F): 1.204 states/eV/atom

BaY2TlRu | PBE-GGA | relaxed

Unit cell a=5.3592 b=5.3592 c=5.5512 alpha=90.00 beta=90.00 gamma=90.00
With the nearest neighbours (Å) after each atom.
Space group P4/mmm (No. 123)
Symmetry-distinct sites (fractional):
Ba  0.0000  0.0000  0.0000 (multiplicity 1)  4 Tl 3.79, 8 Y 3.86
Y  0.0000  0.5000  0.5000 (multiplicity 2)  2 Ru 2.68
Tl  0.5000  0.5000  0.0000 (multiplicity 1)  2 Ru 2.78
Ru  0.5000  0.5000  0.5000 (multiplicity 1)  4 Y 2.68, 2 Tl 2.78

Crystal system: tetragonal
Formation energy: -0.1426 eV per atom
DOS(E_F): 0.598 states/eV/atom

BaTlZn2Ru | PBE-GGA | relaxed

Unit cell a=4.9907 b=4.9907 c=5.2364 alpha=90.00 beta=90.00 gamma=90.00
With the nearest neighbours (Å) after each atom.
Space group P4/mmm (No. 123)
Symmetry-distinct sites (fractional):
Ba  0.0000  0.0000  0.0000 (multiplicity 1)  4 Tl 3.53, 8 Zn 3.62
Tl  0.5000  0.5000  0.0000 (multiplicity 1)  2 Ru 2.62
Zn  0.0000  0.5000  0.5000 (multiplicity 2)  2 Ru 2.50
Ru  0.5000  0.5000  0.5000 (multiplicity 1)  4 Zn 2.50, 2 Tl 2.62

Crystal system: tetragonal
Formation energy: -0.1087 eV per atom
DOS(E_F): 0.344 states/eV/atom

BaTm3Ru | PBE-GGA | relaxed

Unit cell a=5.4567 b=5.4567 c=5.4567 alpha=90.00 beta=90.00 gamma=90.00
With the nearest neighbours (Å) after each atom.
Space group Pm-3m (No. 221)
Symmetry-distinct sites (fractional):
Ba  0.0000  0.0000  0.0000 (multiplicity 1)  12 Tm 3.86
Tm  0.0000  0.5000  0.5000 (multiplicity 3)  2 Ru 2.73
Ru  0.5000  0.5000  0.5000 (multiplicity 1)  6 Tm 2.73

Crystal system: cubic
Formation energy: -0.1475 eV per atom
DOS(E_F): 1.004 states/eV/atom

BaVRu2 | PBE-GGA | relaxed

Unit cell a=5.1936 b=5.1936 c=15.3775 alpha=90.00 beta=90.00 gamma=90.00
With the nearest neighbours (Å) after each atom.
Space group I4_1/amd (No. 141, origin choice 2)
Symmetry-distinct sites (fractional):
Ba  0.0000  0.2500  0.3750 (multiplicity 4)  8 Ru 3.48, 4 V 3.67
V  0.0000  0.2500  0.8750 (multiplicity 4)  4 Ru 2.32
Ru  0.0000  0.0000  0.0000 (multiplicity 8)  2 V 2.32, 2 Ru 2.60

E above lowest polymorph: 0.000 eV/atom
Crystal system: tetragonal
Formation energy: 0.7023 eV per atom
DOS(E_F): 1.452 states/eV/atom

Ba2VRu | PBE-GGA | relaxed

Unit cell a=11.9906 b=11.9906 c=4.6461 alpha=90.00 beta=90.00 gamma=90.00
With the nearest neighbours (Å) after each atom.
Space group I-42d (No. 122)
Symmetry-distinct sites (fractional):
Ba  0.0688  0.7500  0.1250 (multiplicity 8)  2 Ru 3.16
V  0.0000  0.0000  0.5000 (multiplicity 4)  2 Ru 2.32
Ru  0.0000  0.0000  0.0000 (multiplicity 4)  2 V 2.32

E above lowest polymorph: 0.000 eV/atom
Crystal system: tetragonal
Formation energy: 0.6070 eV per atom
DOS(E_F): 1.113 states/eV/atom

Ba2VRu | PBE-GGA | relaxed

Unit cell a=7.7677 b=7.7677 c=7.7677 alpha=90.00 beta=90.00 gamma=90.00
With the nearest neighbours (Å) after each atom.
Space group Fm-3m (No. 225)
Symmetry-distinct sites (fractional):
Ba  0.2500  0.2500  0.2500 (multiplicity 8)  4 Ru 3.36, 4 V 3.36
V  0.0000  0.0000  0.0000 (multiplicity 4)  8 Ba 3.36
Ru  0.0000  0.0000  0.5000 (multiplicity 4)  8 Ba 3.36

E above lowest polymorph: 0.379 eV/atom
Crystal system: cubic
Formation energy: 0.9864 eV per atom
DOS(E_F): 1.754 states/eV/atom